The following is a PBE+U calculation of an optimized crystal structure of TiW3F, from the Alexandria database.

Cell lengths 4.347, 4.347, 4.347 Å; angles 90.00, 90.00, 90.00 degrees
Last column: magnetic moment on the atom in μB.
Sites, in units of the cell vectors:
W: 0.000 0.000 0.500  1.00
W: 0.000 0.500 0.000  1.05
W: 0.500 0.000 0.000  1.08
F: 0.000 0.000 0.000  0.03
Ti: 0.500 0.500 0.500  -0.31

Output
The value obtained for the total DFT energy (no corrections) is -25.8 eV/cell. Its total magnetic moment is 2.90 μB/f.u.